DFT (PBE) results for crystalline CePr6Ho2Tm at its relaxed geometry.

Structure (CIF):
```
data_CePr6Ho2Tm
_space_group_name_H-M_alt 'C 1 2/m 1'
_space_group_IT_number 12
_space_group_name_Hall '-C 2y'
_cell_length_a 11.297
_cell_length_b 7.156
_cell_length_c 8.870
_cell_angle_alpha 90.00
_cell_angle_beta 103.32
_cell_angle_gamma 90.00
loop_
_atom_site_label
_atom_site_fract_x
_atom_site_fract_y
_atom_site_fract_z
_atom_site_occupancy
Ce1 0.000 0.000 0.000 1
Pr1 0.128 0.000 0.419 1
Pr2 0.171 0.268 0.795 1
Ho1 0.093 0.500 0.164 1
Tm1 0.000 0.500 0.500 1
```

Computed properties:
Total DFT energy (no corrections)   -4.5923 eV per atom
D(E_F)   21.67 states/eV/f.u.
Total moment   2.3 μB/cell